NaLaZn | PBE | optimized geometry

Cell: 5.167 5.167 5.167 Å, 60.00 60.00 60.00°
Positions (direct):
Na  0.000  0.000  0.000
La  0.250  0.250  0.250
Zn  0.500  0.500  0.500

Values from the calculation:
Space-group type: No. 216
Crystal system: cubic
DFT total energy in eV per atom: -2.02